VASP calculation (PBE+U) on crystalline PaCo2CuO8 at its relaxed geometry.

POSCAR file:
```
PaCo2CuO8
1.0
-3.409 3.409 3.258
3.409 -3.409 3.258
3.409 3.409 -3.258
Pa Co Cu O
1 2 1 8
Direct
0.000 0.000 0.000
0.500 0.500 0.000
0.750 0.250 0.500
0.250 0.750 0.500
0.318 0.125 0.807
0.318 0.511 0.193
0.379 0.074 0.305
0.489 0.682 0.807
0.769 0.074 0.695
0.875 0.682 0.193
0.926 0.231 0.305
0.926 0.621 0.695
```

Properties
The energy comes out at -6.5335 eV per atom. For the density of states at the Fermi level, the calculation gives 0.37 states/eV per atom.